# NaCaSe PBE-GGA optimized geometry
data_NaCaSe
_chemical_formula_sum 'Na6 Ca6 Se6'
_cell_length_a 5.0111
_cell_length_b 5.0111
_cell_length_c 26.2719
_cell_angle_alpha 90.00
_cell_angle_beta 90.00
_cell_angle_gamma 120.00
_symmetry_space_group_name_H-M 'R -3 m'
_symmetry_Int_Tables_number 166
_symmetry_space_group_name_Hall '-R 3 2"'
loop_
_atom_site_label
_atom_site_type_symbol
_atom_site_fract_x
_atom_site_fract_y
_atom_site_fract_z
_atom_site_occupancy
Na1 Na 0.0000 0.0000 0.1480 1
Ca1 Ca 0.0000 0.0000 0.3875 1
Se1 Se 0.0000 0.0000 0.2751 1
# - calculated total energy (eV/atom) = -3.329
# - formation energy (no corrections) (meV per atom) = -1060


# Ac2PmAl4Pt3 PBE-GGA optimized geometry
data_Ac2PmAl4Pt3
_chemical_formula_sum 'Ac2 Pm1 Al4 Pt3'
_cell_length_a 4.430
_cell_length_b 4.430
_cell_length_c 11.614
_cell_angle_alpha 90.00
_cell_angle_beta 90.00
_cell_angle_gamma 90.00
_symmetry_space_group_name_H-M 'P -4 m 2'
_symmetry_Int_Tables_number 115
loop_
_symmetry_equiv_pos_as_xyz
'x,y,z'
'y,-x,-z'
'-x,-y,z'
'-y,x,-z'
'-x,y,z'
'-y,-x,-z'
'x,-y,z'
'y,x,-z'
loop_
_atom_site_label
_atom_site_type_symbol
_atom_site_fract_x
_atom_site_fract_y
_atom_site_fract_z
_atom_site_occupancy
Ac1 Ac 0.000 0.500 0.229 1
Pm1 Pm 0.000 0.000 0.500 1
Al1 Al 0.000 0.000 0.000 1
Al2 Al 0.000 0.500 0.669 1
Al3 Al 0.500 0.500 0.000 1
Pt1 Pt 0.000 0.500 0.884 1
Pt2 Pt 0.500 0.500 0.500 1
# - energy relative to the elements (eV per atom) = -0.85
# - calculated total energy (eV/atom) = -5.452


# Sr2Zn4AgPt3 PBE-GGA optimized geometry
data_Sr2Zn4AgPt3
_chemical_formula_sum 'Sr2 Zn4 Ag1 Pt3'
_cell_length_a 4.453
_cell_length_b 4.453
_cell_length_c 10.395
_cell_angle_alpha 90.00
_cell_angle_beta 90.00
_cell_angle_gamma 90.00
_symmetry_space_group_name_H-M 'P -4 m 2'
_symmetry_Int_Tables_number 115
loop_
_symmetry_equiv_pos_as_xyz
'x,y,z'
'y,-x,-z'
'-x,-y,z'
'-y,x,-z'
'-x,y,z'
'-y,-x,-z'
'x,-y,z'
'y,x,-z'
loop_
_atom_site_label
_atom_site_type_symbol
_atom_site_fract_x
_atom_site_fract_y
_atom_site_fract_z
_atom_site_occupancy
Sr1 Sr 0.000 0.500 0.248 1
Zn1 Zn 0.000 0.000 0.000 1
Zn2 Zn 0.000 0.500 0.630 1
Zn3 Zn 0.500 0.500 0.000 1
Ag1 Ag 0.000 0.000 0.500 1
Pt1 Pt 0.000 0.500 0.873 1
Pt2 Pt 0.500 0.500 0.500 1
# - energy relative to the elements (eV per atom) = -0.58
# - calculated total energy (eV/atom) = -3.525


# ZrAlAg PBE-GGA optimized geometry
data_ZrAlAg
_chemical_formula_sum 'Zr2 Al2 Ag2'
_cell_length_a 4.1125
_cell_length_b 4.1125
_cell_length_c 10.7424
_cell_angle_alpha 90.00
_cell_angle_beta 90.00
_cell_angle_gamma 120.00
_symmetry_space_group_name_H-M 'P 63/m m c'
_symmetry_Int_Tables_number 194
_symmetry_space_group_name_Hall '-P 6c 2c'
loop_
_atom_site_label
_atom_site_type_symbol
_atom_site_fract_x
_atom_site_fract_y
_atom_site_fract_z
_atom_site_occupancy
Zr1 Zr 0.0000 0.0000 0.0000 1
Al1 Al 0.0000 0.0000 0.2500 1
Ag1 Ag 0.3333 0.6667 0.2500 1
# - energy relative to the elements (eV per atom) = 0.91
# - calculated total energy (eV/atom) = -4.136